## GeHWO6 (GGA+U)

Data for GeHWO6 after structural relaxation.

Values from the calculation:
- E: -6.2244 eV per atom

Lattice parameters (Å, degrees): 4.5807 4.5807 9.2819 90.00 90.00 90.00
With the nearest neighbours (Å) after each atom.
Atoms (fractional coordinates):
Ge 0.0000 0.0000 0.0000  6 O 1.88-1.91, 1 H 2.00
Ge 0.5000 0.5000 0.5000  6 O 1.88-1.91, 1 H 2.00
H 0.0000 0.0000 0.7841  2 O 1.30
H 0.5000 0.5000 0.2841  2 O 1.30
W 0.0000 0.0000 0.3477  6 O 1.84-2.05
W 0.5000 0.5000 0.8477  6 O 1.84-2.05
O 0.1677 0.1677 0.1658  1 Ge 1.88, 1 W 2.01
O 0.1842 0.1842 0.8394  1 H 1.30
O 0.2089 0.2089 0.4814  1 W 1.84, 1 Ge 1.89
O 0.2911 0.7089 0.9814  1 W 1.84, 1 Ge 1.89
O 0.3158 0.6842 0.3394  1 H 1.30
O 0.3323 0.6677 0.6658  1 Ge 1.88, 1 W 2.01
O 0.6677 0.3323 0.6658  1 Ge 1.88, 1 W 2.01
O 0.6842 0.3158 0.3394  1 H 1.30
O 0.7089 0.2911 0.9814  1 W 1.84, 1 Ge 1.89
O 0.7911 0.7911 0.4814  1 W 1.84, 1 Ge 1.89
O 0.8158 0.8158 0.8394  1 H 1.30
O 0.8323 0.8323 0.1658  1 Ge 1.88, 1 W 2.01